[1]
First-principles (PBE) data for a relaxed Mg2TeIr crystal, as listed in Alexandria via LeMat-Bulk.

POSCAR file:
```
Mg2TeIr
1.0
4.398 0.000 0.000
0.000 4.397 0.000
0.000 0.000 3.890
Te Mg Ir
1 2 1
direct
0.500 0.000 0.500
0.000 0.000 0.000
0.500 0.500 0.000
0.000 0.500 0.500
```

Output
Energy relative to the elements, uncorrected in eV per formula unit: -0.750
Volume in Å³ per atom: 18.81
Total magnetic moment in Bohr magnetons per cell: 0.00
Total energy in eV/atom: -3.986

[2]
First-principles (PBE) data for a relaxed MgTe2Ir crystal, as listed in Alexandria via LeMat-Bulk.

POSCAR file:
```
MgTe2Ir
1.0
-1.446 -1.777 -3.307
-1.227 -4.937 3.190
-5.373 -1.959 3.402
Te Ir Mg
2 1 1
direct
0.000 0.384 0.406
0.000 0.116 0.094
0.500 0.250 0.250
0.500 0.750 0.750
```

Output
Energy relative to the elements, uncorrected in eV per formula unit: -0.876
Volume in Å³ per atom: 29.51
Total magnetic moment in Bohr magnetons per cell: 0.00
Total energy in eV/atom: -4.404

[3]
First-principles (PBE) data for a relaxed MgTe2Ir crystal, as listed in Alexandria via LeMat-Bulk.

POSCAR file:
```
MgTe2Ir
1.0
-1.285 -3.815 0.686
1.355 -3.062 -2.336
5.070 -3.252 3.619
Te Mg Ir
2 1 1
direct
0.486 0.486 0.544
0.014 0.014 0.956
0.250 0.250 0.250
0.750 0.750 0.750
```

Output
Energy relative to the elements, uncorrected in eV per formula unit: -0.928
Volume in Å³ per atom: 23.88
Total magnetic moment in Bohr magnetons per cell: 0.00
Total energy in eV/atom: -4.417

- energy relative to the elements, uncorrected of number 3 (MgTe2Ir)?
  -0.928 eV per formula unit

- Look up the volume of the third one.
  23.88 Å³ per atom